Material: TlIn2CuBr
Method: DFT, PBE
State: optimized geometry

Output
* E_form (uncorrected): -0.148 eV/atom
* density of states at the Fermi level: 1.45 states/eV/cell

Cell lengths 5.1600, 5.1600, 5.3887 Å; angles 90.00, 90.00, 90.00 degrees
With the nearest neighbours (Å) after each atom.
Space group P4/mmm (No. 123)
Inequivalent atoms, fractional coordinates:
Tl 0.0000 0.0000 0.0000 x1  2 Cu 2.69
In 0.0000 0.5000 0.5000 x2  2 Cu 2.58
Cu 0.0000 0.0000 0.5000 x1  4 In 2.58, 2 Tl 2.69
Br 0.5000 0.5000 0.0000 x1  4 Tl 3.65, 8 In 3.73

Material: MnAg2Ir
Method: DFT, PBE
State: optimized geometry

Output
* energy relative to the elements: 1.03 eV/f.u.
* offset from the most stable computed form: 110.3 meV per atom
* density of states at the Fermi level: 6.43 states/eV/cell

Cell lengths 9.7079, 2.8327, 4.7190 Å; angles 90.00, 100.29, 90.00 degrees
With the nearest neighbours (Å) after each atom.
Space group C2/m (No. 12)
Inequivalent atoms, fractional coordinates:
Mn 0.0000 0.0000 0.0000 x2  4 Ir 2.75, 2 Mn 2.83, 6 Ag 2.88
Ag 0.2492 0.0000 0.7499 x4  6 Ag 2.75-2.83, 3 Ir 2.87-2.89, 3 Mn 2.88
Ir 0.0000 0.5000 0.5000 x2  4 Mn 2.75, 2 Ir 2.83, 6 Ag 2.87-2.89

no.,V (Å³ per atom)
1,28.70
2,15.96